Record 1
! Er8Tm2Tl PBE-GGA relaxed; values from VASP
! - SG: C2/m
! - Electronic total energy: -4.37 eV per atom
! - Fermi-level density of states: 15.19 states/eV/f.u.
! - Calculated formation energy: -2.7 kJ/mol of atoms
! - Calculated density: 9.4 g cm⁻³
&SYSTEM
  ibrav = 0, nat = 11, ntyp = 3
/
ATOMIC_SPECIES
Er 167.26 Er.upf
Tm 168.93 Tm.upf
Tl 204.38 Tl.upf
CELL_PARAMETERS angstrom
9.584 -2.744 0.000
9.584 2.744 0.000
-0.583 0.000 6.308
ATOMIC_POSITIONS crystal
Er 0.045 0.045 0.269
Er 0.155 0.155 0.800
Er 0.338 0.338 0.877
Er 0.421 0.421 0.403
Er 0.579 0.579 0.597
Er 0.662 0.662 0.123
Er 0.845 0.845 0.200
Er 0.955 0.955 0.731
Tm 0.244 0.244 0.335
Tm 0.756 0.756 0.665
Tl 0.500 0.500 0.000

Record 2
! ErTm5Tl3 PBE-GGA relaxed; values from VASP
! - SG: P6_3/mcm
! - Electronic total energy: -4.02 eV per atom
! - Fermi-level density of states: 9.51 states/eV/f.u.
! - Calculated formation energy: -23.4 kJ/mol of atoms
! - Calculated density: 11.0 g cm⁻³
&SYSTEM
  ibrav = 0, nat = 18, ntyp = 3
/
ATOMIC_SPECIES
Er 167.26 Er.upf
Tm 168.93 Tm.upf
Tl 204.38 Tl.upf
CELL_PARAMETERS angstrom
9.251 0.000 0.000
-4.626 8.012 0.000
0.000 0.000 6.649
ATOMIC_POSITIONS crystal
Er 0.000 0.000 0.000
Er 0.000 0.000 0.500
Tm 0.000 0.333 0.250
Tm 0.000 0.667 0.750
Tm 0.333 0.000 0.250
Tm 0.333 0.333 0.750
Tm 0.333 0.667 0.000
Tm 0.333 0.667 0.500
Tm 0.667 0.000 0.750
Tm 0.667 0.333 0.000
Tm 0.667 0.333 0.500
Tm 0.667 0.667 0.250
Tl 0.000 0.334 0.750
Tl 0.000 0.666 0.250
Tl 0.334 0.000 0.750
Tl 0.334 0.334 0.250
Tl 0.666 0.000 0.250
Tl 0.666 0.666 0.750

Record 3
! Er2TmTl PBE-GGA relaxed; values from VASP
! - SG: P4/mmm
! - Electronic total energy: -4.15 eV per atom
! - Fermi-level density of states: 4.76 states/eV/f.u.
! - Calculated formation energy: -15.4 kJ/mol of atoms
! - Calculated density: 10.1 g cm⁻³
! - Distance to the lowest polymorph of the same formula: 5 meV/atom
&SYSTEM
  ibrav = 0, nat = 4, ntyp = 3
/
ATOMIC_SPECIES
Er 167.26 Er.upf
Tm 168.93 Tm.upf
Tl 204.38 Tl.upf
CELL_PARAMETERS angstrom
3.568 0.000 0.000
0.000 3.568 0.000
0.000 0.000 9.102
ATOMIC_POSITIONS crystal
Er 0.000 0.000 0.233
Er 0.000 0.000 0.767
Tm 0.500 0.500 0.500
Tl 0.500 0.500 0.000

Record 4
! Er3Tm7Tl PBE-GGA relaxed; values from VASP
! - SG: P3m1
! - Electronic total energy: -4.15 eV per atom
! - Fermi-level density of states: 14.67 states/eV/f.u.
! - Calculated formation energy: 15.3 kJ/mol of atoms
! - Calculated density: 9.1 g cm⁻³
&SYSTEM
  ibrav = 0, nat = 11, ntyp = 3
/
ATOMIC_SPECIES
Er 167.26 Er.upf
Tm 168.93 Tm.upf
Tl 204.38 Tl.upf
CELL_PARAMETERS angstrom
6.869 0.000 0.000
-3.434 5.948 0.000
0.000 0.000 8.411
ATOMIC_POSITIONS crystal
Er 0.168 0.336 0.000
Er 0.168 0.832 0.000
Er 0.664 0.832 0.000
Tm 0.007 0.503 0.339
Tm 0.332 0.166 0.663
Tm 0.333 0.667 0.673
Tm 0.497 0.503 0.339
Tm 0.497 0.993 0.339
Tm 0.834 0.166 0.663
Tm 0.834 0.668 0.663
Tl 0.000 0.000 0.337

Record 5
! Er3TmTl PBE-GGA relaxed; values from VASP
! - SG: Cmcm
! - Electronic total energy: -4.22 eV per atom
! - Fermi-level density of states: 5.69 states/eV/f.u.
! - Calculated formation energy: -11.0 kJ/mol of atoms
! - Calculated density: 10.2 g cm⁻³
! - Distance to the lowest polymorph of the same formula: 0 meV/atom
&SYSTEM
  ibrav = 0, nat = 10, ntyp = 3
/
ATOMIC_SPECIES
Er 167.26 Er.upf
Tm 168.93 Tm.upf
Tl 204.38 Tl.upf
CELL_PARAMETERS angstrom
2.384 -12.534 0.000
2.384 12.534 0.000
0.000 0.000 4.751
ATOMIC_POSITIONS crystal
Er 0.048 0.952 0.750
Er 0.251 0.749 0.750
Er 0.448 0.552 0.750
Er 0.552 0.448 0.250
Er 0.749 0.251 0.250
Er 0.952 0.048 0.250
Tm 0.150 0.850 0.250
Tm 0.850 0.150 0.750
Tl 0.349 0.651 0.250
Tl 0.651 0.349 0.750

Record 6
! ErTm6Tl PBE-GGA relaxed; values from VASP
! - SG: Amm2
! - Electronic total energy: -4.28 eV per atom
! - Fermi-level density of states: 10.10 states/eV/f.u.
! - Calculated formation energy: -5.7 kJ/mol of atoms
! - Calculated density: 9.7 g cm⁻³
! - Distance to the lowest polymorph of the same formula: 0 meV/atom
&SYSTEM
  ibrav = 0, nat = 8, ntyp = 3
/
ATOMIC_SPECIES
Er 167.26 Er.upf
Tm 168.93 Tm.upf
Tl 204.38 Tl.upf
CELL_PARAMETERS angstrom
5.361 0.000 0.000
0.000 1.767 12.457
0.000 -1.767 12.457
ATOMIC_POSITIONS crystal
Er 0.000 0.000 0.000
Tm 0.000 0.243 0.243
Tm 0.000 0.620 0.620
Tm 0.000 0.867 0.867
Tm 0.500 0.078 0.078
Tm 0.500 0.447 0.447
Tm 0.500 0.701 0.701
Tl 0.500 0.317 0.317

Record 7
! Er2Tm5Tl PBE-GGA relaxed; values from VASP
! - SG: Pbam
! - Electronic total energy: -4.28 eV per atom
! - Fermi-level density of states: 12.11 states/eV/f.u.
! - Calculated formation energy: -4.3 kJ/mol of atoms
! - Calculated density: 9.9 g cm⁻³
! - Distance to the lowest polymorph of the same formula: 0 meV/atom
&SYSTEM
  ibrav = 0, nat = 16, ntyp = 3
/
ATOMIC_SPECIES
Er 167.26 Er.upf
Tm 168.93 Tm.upf
Tl 204.38 Tl.upf
CELL_PARAMETERS angstrom
6.875 0.000 0.000
0.000 13.840 0.000
0.000 0.000 4.901
ATOMIC_POSITIONS crystal
Er 0.246 0.126 0.000
Er 0.254 0.626 0.000
Er 0.746 0.374 0.000
Er 0.754 0.874 0.000
Tm 0.000 0.000 0.500
Tm 0.002 0.255 0.500
Tm 0.243 0.874 0.000
Tm 0.257 0.374 0.000
Tm 0.498 0.755 0.500
Tm 0.500 0.500 0.500
Tm 0.502 0.245 0.500
Tm 0.743 0.626 0.000
Tm 0.757 0.126 0.000
Tm 0.998 0.745 0.500
Tl 0.000 0.500 0.500
Tl 0.500 0.000 0.500

Record 8
! ErTm6Tl5 PBE-GGA relaxed; values from VASP
! - SG: Immm
! - Electronic total energy: -3.84 eV per atom
! - Fermi-level density of states: 11.88 states/eV/f.u.
! - Calculated formation energy: -23.4 kJ/mol of atoms
! - Calculated density: 11.3 g cm⁻³
&SYSTEM
  ibrav = 0, nat = 12, ntyp = 3
/
ATOMIC_SPECIES
Er 167.26 Er.upf
Tm 168.93 Tm.upf
Tl 204.38 Tl.upf
CELL_PARAMETERS angstrom
-2.474 4.372 7.516
2.474 -4.372 7.516
2.474 4.372 -7.516
ATOMIC_POSITIONS crystal
Er 0.000 0.000 0.000
Tm 0.094 0.830 0.264
Tm 0.275 0.500 0.775
Tm 0.433 0.170 0.264
Tm 0.567 0.830 0.736
Tm 0.725 0.500 0.225
Tm 0.906 0.170 0.736
Tl 0.146 0.646 0.500
Tl 0.319 0.319 0.000
Tl 0.500 0.000 0.500
Tl 0.681 0.681 0.000
Tl 0.854 0.354 0.500

Record 9
! YErTmTl PBE-GGA relaxed; values from VASP
! - SG: Pmmm
! - Electronic total energy: -4.64 eV per atom
! - Fermi-level density of states: 4.88 states/eV/f.u.
! - Calculated formation energy: -16.6 kJ/mol of atoms
! - Calculated density: 9.3 g cm⁻³
! - Distance to the lowest polymorph of the same formula: 0 meV/atom
&SYSTEM
  ibrav = 0, nat = 4, ntyp = 4
/
ATOMIC_SPECIES
Y 88.91 Y.upf
Er 167.26 Er.upf
Tm 168.93 Tm.upf
Tl 204.38 Tl.upf
CELL_PARAMETERS angstrom
4.816 0.000 0.000
0.000 4.825 0.000
0.000 0.000 4.831
ATOMIC_POSITIONS crystal
Y 0.000 0.000 0.000
Er 0.500 0.000 0.500
Tm 0.000 0.500 0.500
Tl 0.500 0.500 0.000

Record 10
! YErTmTl PBE-GGA relaxed; values from VASP
! - SG: F-43m
! - Electronic total energy: -4.50 eV per atom
! - Fermi-level density of states: 5.72 states/eV/f.u.
! - Calculated formation energy: -3.1 kJ/mol of atoms
! - Calculated density: 9.2 g cm⁻³
! - Distance to the lowest polymorph of the same formula: 140 meV/atom
&SYSTEM
  ibrav = 0, nat = 4, ntyp = 4
/
ATOMIC_SPECIES
Y 88.91 Y.upf
Er 167.26 Er.upf
Tm 168.93 Tm.upf
Tl 204.38 Tl.upf
CELL_PARAMETERS angstrom
0.000 3.843 3.843
3.843 0.000 3.843
3.843 3.843 0.000
ATOMIC_POSITIONS crystal
Y 0.000 0.000 0.000
Er 0.500 0.500 0.500
Tm 0.250 0.250 0.250
Tl 0.750 0.750 0.750

Record 11
! ErTmTlZn PBE-GGA relaxed; values from VASP
! - SG: P4mm
! - Electronic total energy: -3.50 eV per atom
! - Fermi-level density of states: 3.08 states/eV/f.u.
! - Calculated formation energy: -32.3 kJ/mol of atoms
! - Calculated density: 10.4 g cm⁻³
! - Distance to the lowest polymorph of the same formula: 0 meV/atom
&SYSTEM
  ibrav = 0, nat = 4, ntyp = 4
/
ATOMIC_SPECIES
Er 167.26 Er.upf
Tm 168.93 Tm.upf
Tl 204.38 Tl.upf
Zn 65.41 Zn.upf
CELL_PARAMETERS angstrom
3.628 0.000 0.000
0.000 3.628 0.000
0.000 0.000 7.345
ATOMIC_POSITIONS crystal
Er 0.000 0.000 0.000
Tm 0.000 0.000 0.542
Tl 0.500 0.500 0.273
Zn 0.500 0.500 0.769

Record 12
! ErTmTlZn PBE-GGA relaxed; values from VASP
! - SG: F-43m
! - Electronic total energy: -3.47 eV per atom
! - Fermi-level density of states: 4.05 states/eV/f.u.
! - Calculated formation energy: -29.5 kJ/mol of atoms
! - Calculated density: 10.3 g cm⁻³
! - Distance to the lowest polymorph of the same formula: 29 meV/atom
&SYSTEM
  ibrav = 0, nat = 4, ntyp = 4
/
ATOMIC_SPECIES
Er 167.26 Er.upf
Tm 168.93 Tm.upf
Tl 204.38 Tl.upf
Zn 65.41 Zn.upf
CELL_PARAMETERS angstrom
0.000 3.656 3.656
3.656 0.000 3.656
3.656 3.656 0.000
ATOMIC_POSITIONS crystal
Er 0.000 0.000 0.000
Tm 0.500 0.500 0.500
Tl 0.750 0.750 0.750
Zn 0.250 0.250 0.250